CuNiPt | PBE | optimized geometry

a b c (Å): 4.5566 4.5566 4.5566
angles (deg): 145.62 132.54 59.91
Site moments in Bohr magnetons follow the coordinates.
Fractional coordinates of all 3 atoms:
Ni  0.6654  0.6654  0.0000  0.60
Cu  0.0026  0.0026  0.0000  0.04
Pt  0.3319  0.3319  0.0000  0.21

Output
formation enthalpy at 0 K = -0.069 eV/atom
SG = Imm2, No. 44
VASP energy = -5.38 eV/atom
crystal system = orthorhombic